# ZrSc2Re | Alexandria via LeMat-Bulk | PBE-GGA | optimized geometry
data_ZrSc2Re
_chemical_formula_sum 'Zr1 Sc2 Re1'
_cell_length_a 2.8801
_cell_length_b 4.6934
_cell_length_c 5.8877
_cell_angle_alpha 90.00
_cell_angle_beta 90.00
_cell_angle_gamma 90.00
_space_group_name_H-M_alt 'P m m 2'
_space_group_IT_number 25
loop_
_space_group_symop_operation_xyz
'x,y,z'
'-x,-y,z'
'-x,y,z'
'x,-y,z'
loop_
_atom_site_label
_atom_site_type_symbol
_atom_site_fract_x
_atom_site_fract_y
_atom_site_fract_z
_atom_site_occupancy
Zr1 Zr 0.0000 0.0000 0.0000 1
Sc1 Sc 0.0000 0.0000 0.4657 1
Sc2 Sc 0.5000 0.5000 0.7306 1
Re1 Re 0.5000 0.5000 0.2324 1
# DFT formation energy in eV per atom: 0.149
# Fermi-level density of states in states/eV/atom: 1.0435
# E_tot in eV/atom: -8.266
# Energy above the most stable polymorph in this dataset in eV per atom: 0.2353